Y2InIr: optimized geometry, GGA-PBE.

Values from the calculation:
- Magnetization: 0.13 μB/f.u.
- VASP energy: -0.4759 Ry per atom
- Mass density: 8.2 g/cm³
- ΔE_f: -7.9 kcal/mol of atoms
- Symmetry: P4mm (99)

Cell: 3.401 3.401 8.504 Å, 90.00 90.00 90.00°
Last column: magnetic moment on the atom in μB.
Fractional positions:
Y1 0.500 0.500 0.291  0.08
Y2 0.000 0.000 0.928  0.00
In1 0.000 0.000 0.547  0.00
Ir1 0.500 0.500 0.735  0.00



Nd8Ho2Hg: optimized geometry, GGA-PBE.

Values from the calculation:
- Magnetization: 0.00 μB/f.u.
- VASP energy: -0.3173 Ry per atom
- Mass density: 7.5 g/cm³
- ΔE_f: 0.2 kcal/mol of atoms
- Symmetry: C2/m (12)

Cell: 5.629 7.949 9.388 Å, 110.98 107.44 90.00°
Fractional positions:
Nd1 0.661 0.915 0.322
Nd2 0.989 0.241 0.979
Nd3 0.387 0.573 0.774
Nd4 0.613 0.427 0.226
Nd5 0.011 0.759 0.021
Nd6 0.339 0.085 0.678
Nd7 0.820 0.779 0.640
Nd8 0.180 0.221 0.360
Ho1 0.810 0.340 0.620
Ho2 0.190 0.660 0.380
Hg1 0.500 0.000 0.000



Y2NbN: optimized geometry, GGA-PBE.

Values from the calculation:
- E_form (uncorrected): -0.30 eV per atom
- Magnetization: 0.77 μB/f.u.
- VASP energy: -0.5973 Ry per atom
- Mass density: 5.7 g/cm³
- Symmetry: R-3m (166)

Cell: 3.314 3.314 8.971 Å, 79.36 79.36 60.00°
Last column: magnetic moment on the atom in μB.
Fractional positions:
Y1 0.114 0.114 0.658  -0.01
Y2 0.886 0.886 0.342  -0.01
N1 0.500 0.500 0.500  0.01
Nb1 0.000 0.000 0.000  0.69



DyTh2Fe: optimized geometry, GGA-PBE.

Values from the calculation:
- Magnetization: 0.00 μB/f.u.
- VASP energy: -0.5106 Ry per atom
- Mass density: 10.2 g/cm³
- ΔE_f: 0.7 kcal/mol of atoms
- Energy relative to the lowest polymorph listed for this composition: 0.092 eV per atom
- Symmetry: R-3m (166)

Cell: 3.781 3.781 9.255 Å, 78.21 78.21 60.00°
Fractional positions:
Th1 0.725 0.725 0.825
Th2 0.275 0.275 0.175
Dy1 0.500 0.500 0.500
Fe1 0.000 0.000 0.000



ErTm6Mg2: optimized geometry, GGA-PBE.

Values from the calculation:
- Magnetization: 0.00 μB/f.u.
- VASP energy: -0.2794 Ry per atom
- Mass density: 7.9 g/cm³
- ΔE_f: 1.0 kcal/mol of atoms
- Symmetry: C2/c (15)

Cell: 8.746 8.614 8.614 Å, 66.07 65.79 65.79°
Fractional positions:
Tm1 0.426 0.412 0.912
Tm2 0.825 0.169 0.010
Tm3 0.325 0.010 0.169
Tm4 0.675 0.332 0.490
Tm5 0.175 0.490 0.332
Tm6 0.175 0.831 0.990
Tm7 0.074 0.088 0.588
Tm8 0.825 0.510 0.668
Tm9 0.574 0.588 0.088
Tm10 0.325 0.668 0.510
Tm11 0.926 0.912 0.412
Tm12 0.675 0.990 0.831
Mg1 0.000 0.655 0.845
Mg2 0.500 0.155 0.345
Mg3 0.500 0.845 0.655
Mg4 0.000 0.345 0.155
Er1 0.250 0.250 0.750
Er2 0.750 0.750 0.250